PaGeH | PBE-GGA | relaxed

Values from the calculation:
**E_tot**: -6.236 eV per atom
**ρ**: 9.8 Mg/m³
**Energy above the most stable polymorph in this dataset**: 0.25 eV/f.u.
**Total moment**: 0.000 μB per atom

Unit cell a=3.9306 b=3.9306 c=3.8555 alpha=90.00 beta=90.00 gamma=120.00
Space group P-6m2 (No. 187)
Asymmetric unit:
Pa (0.0000, 0.0000, 0.0000) [1 per cell]
Ge (0.3333, 0.6667, 0.5000) [1 per cell]
H (0.6667, 0.3333, 0.0000) [1 per cell]